A relaxed structure of LiP3Os, computed with PBE.

POSCAR file:
```
LiP3Os
1.0
4.664 0.000 0.000
0.000 4.664 0.000
0.000 0.000 4.664
Li P Os
1 3 1
direct
0.000 0.000 0.000 Li
0.000 0.500 0.500 P
0.500 0.000 0.500 P
0.500 0.500 0.000 P
0.500 0.500 0.500 Os
```

Calculated values
Excess energy over the best structure of this formula in the dataset = 0.000 eV/atom
Energy of formation = 0.55 eV per atom
SG = Pm-3m (221)


A relaxed structure of LiPOs2, computed with PBE.

POSCAR file:
```
LiPOs2
1.0
3.901 0.000 0.000
0.000 2.835 0.000
0.000 0.000 9.715
Li P Os
2 2 4
direct
0.000 0.000 0.000 Li
0.000 0.500 0.500 Li
0.500 0.000 0.411 P
0.500 0.500 0.911 P
0.000 0.000 0.265 Os
0.000 0.500 0.765 Os
0.500 0.000 0.646 Os
0.500 0.500 0.146 Os
```

Calculated values
Energy of formation = 0.01 eV per atom
SG = Amm2 (38)


A relaxed structure of LiP2OsPd, computed with PBE.

POSCAR file:
```
LiP2OsPd
1.0
4.527 0.000 0.000
0.000 4.527 0.000
0.000 0.000 4.016
Li P Os Pd
1 2 1 1
direct
0.000 0.000 0.000 Li
0.000 0.500 0.500 P
0.500 0.000 0.500 P
0.500 0.500 0.000 Os
0.000 0.000 0.500 Pd
```

Calculated values
Energy of formation = 0.97 eV per atom
SG = P4/mmm (123)


A relaxed structure of LiPOsS2, computed with PBE.

POSCAR file:
```
LiPOsS2
1.0
4.239 0.000 0.000
0.000 4.239 0.000
0.000 0.000 4.098
Li P Os S
1 1 1 2
direct
0.000 0.000 0.000 Li
0.000 0.000 0.500 P
0.500 0.500 0.500 Os
0.000 0.500 0.000 S
0.500 0.000 0.000 S
```

Calculated values
Excess energy over the best structure of this formula in the dataset = 0.896 eV/atom
Formation energy from raw total energies = 1.197 eV per atom
SG = P4/mmm (123)


A relaxed structure of LiPOsS2, computed with PBE.

POSCAR file:
```
LiPOsS2
1.0
4.849 0.000 0.000
0.000 4.849 0.000
0.000 0.000 4.464
Li P Os S
1 1 1 2
direct
0.000 0.000 0.000 Li
0.500 0.500 0.000 P
0.500 0.500 0.500 Os
0.000 0.500 0.500 S
0.500 0.000 0.500 S
```

Calculated values
Excess energy over the best structure of this formula in the dataset = 0.000 eV/atom
Formation energy from raw total energies = 0.301 eV per atom
SG = P4/mmm (123)


A relaxed structure of LiP2OsS, computed with PBE.

POSCAR file:
```
LiP2OsS
1.0
4.434 0.000 0.000
0.000 4.434 0.000
0.000 0.000 5.538
Li P Os S
1 2 1 1
direct
0.000 0.000 0.000 Li
0.000 0.500 0.500 P
0.500 0.000 0.500 P
0.500 0.500 0.500 Os
0.500 0.500 0.000 S
```

Calculated values
Excess energy over the best structure of this formula in the dataset = 0.000 eV/atom
Formation energy from raw total energies = 0.300 eV per atom
SG = P4/mmm (123)


Number 1: size of the total moment 0.0 μB per formula unit. Number 2: size of the total moment 0.0 μB per formula unit. Number 3: size of the total moment 0.6 μB per formula unit. Number 4: size of the total moment 0.0 μB per formula unit. Number 5: size of the total moment 1.2 μB per formula unit. Number 6: size of the total moment 0.0 μB per formula unit.